# 1
The following is a GGA-PBE calculation of an optimized crystal structure of NdDy2Y, from Alexandria.

## Properties
E_form: 0.022 eV/atom
energy: -5.087 eV per atom
density of states at the Fermi level: 1.36 states/eV/atom

```
data_NdDy2Y
_symmetry_space_group_name_H-M 'P 4/m m m'
_symmetry_Int_Tables_number 123
_symmetry_space_group_name_Hall '-P 4 2'
_cell_length_a 3.5862
_cell_length_b 3.5862
_cell_length_c 10.1417
_cell_angle_alpha 90.00
_cell_angle_beta 90.00
_cell_angle_gamma 90.00
loop_
_atom_site_label
_atom_site_fract_x
_atom_site_fract_y
_atom_site_fract_z
_atom_site_occupancy
Nd1 0.0000 0.0000 0.0000 1
Dy1 0.5000 0.5000 0.2528 1
Y1 0.0000 0.0000 0.5000 1
```

---

# 2
The following is a GGA-PBE calculation of an optimized crystal structure of NdDy2Y, from Alexandria.

## Properties
E_form: 0.015 eV/atom
energy: -5.094 eV per atom
density of states at the Fermi level: 1.83 states/eV/atom

```
data_NdDy2Y
_symmetry_space_group_name_H-M 'P 1 2/c 1'
_symmetry_Int_Tables_number 13
_cell_length_a 6.3188
_cell_length_b 7.3146
_cell_length_c 11.4385
_cell_angle_alpha 90.00
_cell_angle_beta 90.03
_cell_angle_gamma 90.00
loop_
_symmetry_equiv_pos_as_xyz
'x,y,z'
'-x,-y,-z'
'-x,y,-z+1/2'
'x,-y,z+1/2'
loop_
_atom_site_label
_atom_site_fract_x
_atom_site_fract_y
_atom_site_fract_z
_atom_site_occupancy
Nd1 0.1675 0.2477 0.3768 1
Dy1 0.1680 0.2491 0.8737 1
Dy2 0.3351 0.0008 0.6253 1
Y1 0.3316 0.5003 0.1253 1
```

---

# 3
The following is a GGA-PBE calculation of an optimized crystal structure of Nd2Dy3Y7, from Alexandria.

## Properties
E_form: 0.088 eV/atom
energy: -5.628 eV per atom
density of states at the Fermi level: 1.28 states/eV/atom

```
data_Nd2Dy3Y7
_symmetry_space_group_name_H-M 'P 1 2/m 1'
_symmetry_Int_Tables_number 10
_cell_length_a 5.8224
_cell_length_b 3.6073
_cell_length_c 18.8043
_cell_angle_alpha 90.00
_cell_angle_beta 93.60
_cell_angle_gamma 90.00
loop_
_symmetry_equiv_pos_as_xyz
'x,y,z'
'-x,-y,-z'
'-x,y,-z'
'x,-y,z'
loop_
_atom_site_label
_atom_site_fract_x
_atom_site_fract_y
_atom_site_fract_z
_atom_site_occupancy
Nd1 0.2069 0.0000 0.2942 1
Dy1 0.0000 0.0000 0.0000 1
Dy2 0.2783 0.5000 0.6311 1
Y1 0.1820 0.5000 0.1420 1
Y2 0.2419 0.0000 0.4622 1
Y3 0.3145 0.0000 0.8238 1
Y4 0.5000 0.5000 0.0000 1
```

---

# 4
The following is a GGA-PBE calculation of an optimized crystal structure of Nd4Dy3Y, from Alexandria.

## Properties
E_form: 0.027 eV/atom
energy: -4.891 eV per atom
density of states at the Fermi level: 1.85 states/eV/atom

```
data_Nd4Dy3Y
_symmetry_space_group_name_H-M 'P m n 21'
_symmetry_Int_Tables_number 31
_cell_length_a 11.6298
_cell_length_b 7.3456
_cell_length_c 6.3345
_cell_angle_alpha 90.00
_cell_angle_beta 90.00
_cell_angle_gamma 90.00
loop_
_symmetry_equiv_pos_as_xyz
'x,y,z'
'-x+1/2,-y,z+1/2'
'-x,y,z'
'x+1/2,-y,z+1/2'
loop_
_atom_site_label
_atom_site_fract_x
_atom_site_fract_y
_atom_site_fract_z
_atom_site_occupancy
Nd1 0.0000 0.1267 0.0000 1
Nd2 0.0000 0.8724 0.5026 1
Nd3 0.2487 0.1276 0.3355 1
Dy1 0.0000 0.3786 0.5023 1
Dy2 0.2499 0.3781 0.8359 1
Y1 0.0000 0.6218 0.0034 1
```

---

# 5
The following is a GGA-PBE calculation of an optimized crystal structure of Nd6Dy2Y3, from Alexandria.

## Properties
E_form: 0.011 eV/atom
energy: -5.189 eV per atom
density of states at the Fermi level: 1.19 states/eV/atom

```
data_Nd6Dy2Y3
_symmetry_space_group_name_H-M 'R -3 m'
_symmetry_Int_Tables_number 166
_symmetry_space_group_name_Hall '-R 3 2"'
_cell_length_a 3.6307
_cell_length_b 3.6307
_cell_length_c 97.1733
_cell_angle_alpha 90.00
_cell_angle_beta 90.00
_cell_angle_gamma 120.00
loop_
_atom_site_label
_atom_site_fract_x
_atom_site_fract_y
_atom_site_fract_z
_atom_site_occupancy
Nd1 0.0000 0.0000 0.0909 1
Nd2 0.0000 0.0000 0.1823 1
Nd3 0.0000 0.0000 0.3636 1
Dy1 0.0000 0.0000 0.4542 1
Y1 0.0000 0.0000 0.0000 1
Y2 0.0000 0.0000 0.2728 1
```

---

# 6
The following is a GGA-PBE calculation of an optimized crystal structure of Nd5DyY6, from Alexandria.

## Properties
E_form: 0.011 eV/atom
energy: -5.591 eV per atom
density of states at the Fermi level: 1.24 states/eV/atom

```
data_Nd5DyY6
_symmetry_space_group_name_H-M 'C 1 2/m 1'
_symmetry_Int_Tables_number 12
_cell_length_a 6.2727
_cell_length_b 10.8601
_cell_length_c 11.8971
_cell_angle_alpha 90.00
_cell_angle_beta 100.08
_cell_angle_gamma 90.00
loop_
_symmetry_equiv_pos_as_xyz
'x,y,z'
'-x,-y,-z'
'-x,y,-z'
'x,-y,z'
'x+1/2,y+1/2,z'
'-x+1/2,-y+1/2,-z'
'-x+1/2,y+1/2,-z'
'x+1/2,-y+1/2,z'
loop_
_atom_site_label
_atom_site_fract_x
_atom_site_fract_y
_atom_site_fract_z
_atom_site_occupancy
Nd1 0.0000 0.0000 0.0000 1
Nd2 0.0000 0.1666 0.5000 1
Nd3 0.0000 0.3333 0.0000 1
Dy1 0.0000 0.5000 0.5000 1
Y1 0.2490 0.3335 0.7490 1
Y2 0.2498 0.0000 0.7492 1
```

---

# 7
The following is a GGA-PBE calculation of an optimized crystal structure of Nd2Dy9Y, from Alexandria.

## Properties
E_form: 0.063 eV/atom
energy: -4.721 eV per atom
density of states at the Fermi level: 1.60 states/eV/atom

```
data_Nd2Dy9Y
_symmetry_space_group_name_H-M 'P 6/m m m'
_symmetry_Int_Tables_number 191
_symmetry_space_group_name_Hall '-P 6 2'
_cell_length_a 11.2842
_cell_length_b 11.2842
_cell_length_c 3.5028
_cell_angle_alpha 90.00
_cell_angle_beta 90.00
_cell_angle_gamma 120.00
loop_
_atom_site_label
_atom_site_fract_x
_atom_site_fract_y
_atom_site_fract_z
_atom_site_occupancy
Nd1 0.3333 0.6667 0.0000 1
Dy1 0.0000 0.5000 0.0000 1
Dy2 0.1737 0.3475 0.5000 1
Y1 0.0000 0.0000 0.0000 1
```

---

# 8
The following is a GGA-PBE calculation of an optimized crystal structure of NdDy8Y2, from Alexandria.

## Properties
E_form: 0.154 eV/atom
energy: -4.802 eV per atom
density of states at the Fermi level: 1.40 states/eV/atom

```
data_NdDy8Y2
_symmetry_space_group_name_H-M 'C 1 2/m 1'
_symmetry_Int_Tables_number 12
_cell_length_a 9.1233
_cell_length_b 16.7559
_cell_length_c 5.9302
_cell_angle_alpha 90.00
_cell_angle_beta 127.25
_cell_angle_gamma 90.00
loop_
_symmetry_equiv_pos_as_xyz
'x,y,z'
'-x,-y,-z'
'-x,y,-z'
'x,-y,z'
'x+1/2,y+1/2,z'
'-x+1/2,-y+1/2,-z'
'-x+1/2,y+1/2,-z'
'x+1/2,-y+1/2,z'
loop_
_atom_site_label
_atom_site_fract_x
_atom_site_fract_y
_atom_site_fract_z
_atom_site_occupancy
Nd1 0.0000 0.0000 0.0000 1
Dy1 0.0000 0.2029 0.0000 1
Dy2 0.0500 0.5000 0.7851 1
Dy3 0.2243 0.1259 0.7034 1
Y1 0.0000 0.3108 0.5000 1
```

---

# 9
The following is a GGA-PBE calculation of an optimized crystal structure of NdDy7Y5, from Alexandria.

## Properties
E_form: 0.264 eV/atom
energy: -5.067 eV per atom
density of states at the Fermi level: 1.98 states/eV/atom

```
data_NdDy7Y5
_symmetry_space_group_name_H-M 'I m m 2'
_symmetry_Int_Tables_number 44
_cell_length_a 6.7375
_cell_length_b 11.1394
_cell_length_c 11.5871
_cell_angle_alpha 90.00
_cell_angle_beta 90.00
_cell_angle_gamma 90.00
loop_
_symmetry_equiv_pos_as_xyz
'x,y,z'
'-x,-y,z'
'-x,y,z'
'x,-y,z'
'x+1/2,y+1/2,z+1/2'
'-x+1/2,-y+1/2,z+1/2'
'-x+1/2,y+1/2,z+1/2'
'x+1/2,-y+1/2,z+1/2'
loop_
_atom_site_label
_atom_site_fract_x
_atom_site_fract_y
_atom_site_fract_z
_atom_site_occupancy
Nd1 0.0000 0.0000 0.0000 1
Dy1 0.0000 0.0000 0.2993 1
Dy2 0.0000 0.0000 0.6034 1
Dy3 0.0000 0.3279 0.0502 1
Dy4 0.0000 0.3299 0.5506 1
Dy5 0.0000 0.5000 0.2981 1
Y1 0.0000 0.5000 0.8037 1
Y2 0.2338 0.2270 0.7989 1
```

---

# 10
The following is a GGA-PBE calculation of an optimized crystal structure of Nd3Dy4Y, from Alexandria.

## Properties
E_form: 0.156 eV/atom
energy: -4.741 eV per atom
density of states at the Fermi level: 1.83 states/eV/atom

```
data_Nd3Dy4Y
_symmetry_space_group_name_H-M 'C 1 2/m 1'
_symmetry_Int_Tables_number 12
_cell_length_a 23.6887
_cell_length_b 3.4937
_cell_length_c 6.7784
_cell_angle_alpha 90.00
_cell_angle_beta 106.54
_cell_angle_gamma 90.00
loop_
_symmetry_equiv_pos_as_xyz
'x,y,z'
'-x,-y,-z'
'-x,y,-z'
'x,-y,z'
'x+1/2,y+1/2,z'
'-x+1/2,-y+1/2,-z'
'-x+1/2,y+1/2,-z'
'x+1/2,-y+1/2,z'
loop_
_atom_site_label
_atom_site_fract_x
_atom_site_fract_y
_atom_site_fract_z
_atom_site_occupancy
Nd1 0.0000 0.0000 0.0000 1
Nd2 0.1270 0.0000 0.8717 1
Dy1 0.1251 0.0000 0.3841 1
Dy2 0.2405 0.5000 0.7314 1
Y1 0.0000 0.5000 0.5000 1
```

---

# 11
The following is a GGA-PBE calculation of an optimized crystal structure of NdDy14Y, from Alexandria.

## Properties
E_form: 0.004 eV/atom
energy: -4.725 eV per atom
density of states at the Fermi level: 1.19 states/eV/atom

```
data_NdDy14Y
_symmetry_space_group_name_H-M 'A m m 2'
_symmetry_Int_Tables_number 38
_cell_length_a 11.4866
_cell_length_b 7.1371
_cell_length_c 12.3620
_cell_angle_alpha 90.00
_cell_angle_beta 90.00
_cell_angle_gamma 90.00
loop_
_symmetry_equiv_pos_as_xyz
'x,y,z'
'-x,-y,z'
'-x,y,z'
'x,-y,z'
'x,y+1/2,z+1/2'
'-x,-y+1/2,z+1/2'
'-x,y+1/2,z+1/2'
'x,-y+1/2,z+1/2'
loop_
_atom_site_label
_atom_site_fract_x
_atom_site_fract_y
_atom_site_fract_z
_atom_site_occupancy
Nd1 0.0000 0.0000 0.0000 1
Dy1 0.0000 0.2499 0.2497 1
Dy2 0.2505 0.0000 0.3326 1
Dy3 0.2514 0.0000 0.8327 1
Dy4 0.2521 0.2500 0.0831 1
Dy5 0.5000 0.0000 0.1662 1
Dy6 0.5000 0.0000 0.6662 1
Dy7 0.5000 0.2499 0.4159 1
Y1 0.0000 0.0000 0.4997 1
```

---

# 12
The following is a GGA-PBE calculation of an optimized crystal structure of Nd3Dy2Y2, from Alexandria.

## Properties
E_form: 0.105 eV/atom
energy: -5.100 eV per atom
density of states at the Fermi level: 1.60 states/eV/atom

```
data_Nd3Dy2Y2
_symmetry_space_group_name_H-M 'C 1 2/m 1'
_symmetry_Int_Tables_number 12
_cell_length_a 17.6631
_cell_length_b 3.5393
_cell_length_c 8.6104
_cell_angle_alpha 90.00
_cell_angle_beta 118.76
_cell_angle_gamma 90.00
loop_
_symmetry_equiv_pos_as_xyz
'x,y,z'
'-x,-y,-z'
'-x,y,-z'
'x,-y,z'
'x+1/2,y+1/2,z'
'-x+1/2,-y+1/2,-z'
'-x+1/2,y+1/2,-z'
'x+1/2,-y+1/2,z'
loop_
_atom_site_label
_atom_site_fract_x
_atom_site_fract_y
_atom_site_fract_z
_atom_site_occupancy
Nd1 0.0000 0.0000 0.0000 1
Nd2 0.2127 0.0000 0.3002 1
Dy1 0.0645 0.5000 0.4094 1
Y1 0.1444 0.0000 0.8238 1
```